No. 1
The following is a DFT calculation (PBE-GGA) of crystalline ZnSiSe4 at its relaxed geometry.

Calculated values
The space-group type is No. 216. The calculation puts the formation energy without anion corrections at 0.699 eV per atom.

Cell lengths 5.6916, 5.6916, 5.6916 Å; angles 60.00, 60.00, 60.00 degrees
With the nearest neighbours (Å) after each atom.
Sites, in units of the cell vectors:
Zn  0.0000  0.0000  0.0000  12 Se 3.34, 4 Si 3.49
Si  0.7500  0.7500  0.7500  12 Se 3.34, 4 Zn 3.49
Se  0.8762  0.3746  0.3746  6 Se 2.84-2.86
Se  0.3746  0.3746  0.8762  6 Se 2.84-2.86
Se  0.3746  0.8762  0.3746  6 Se 2.84-2.86
Se  0.3746  0.3746  0.3746  6 Se 2.84-2.86



No. 2
The following is a DFT calculation (PBE-GGA) of crystalline Zn2SiSe at its relaxed geometry.

Calculated values
As for the energy above the lowest structure with this stoichiometry: 72 meV per atom. The space-group type is No. 8. The calculation puts the formation energy without anion corrections at 0.132 eV per atom.

Cell lengths 5.8729, 5.8729, 4.0825 Å; angles 76.17, 76.17, 35.49 degrees
With the nearest neighbours (Å) after each atom.
Sites, in units of the cell vectors:
Se  0.5661  0.5661  0.2730  3 Zn 2.55-2.57, 2 Si 2.76
Si  0.2500  0.2500  0.3120  6 Zn 2.61-2.80, 2 Se 2.76
Zn  0.9237  0.9237  0.1378  2 Se 2.55, 2 Si 2.61, 2 Zn 2.62-2.79
Zn  0.7603  0.7603  0.7773  1 Se 2.57, 2 Zn 2.62-2.79, 4 Si 2.63-2.80